Entry 1:
# Ho5Nb2O12

A relaxed Ho5Nb2O12 crystal (PBE, Alexandria).

Properties
- DOS(E_F): 5.116 states/eV per cell
- V: 13.556 Å³ per atom
- Formation energy (no corrections): -6004 kJ/mol of formula units

Unit cell a=12.369 b=5.886 c=7.420 alpha=90.00 beta=107.53 gamma=90.00
Space group C2/m (No. 12)
Inequivalent atoms, fractional coordinates:
Ho 0.000 0.000 0.000 [2 per cell]
Ho 0.191 0.500 0.323 [4 per cell]
Ho 0.199 0.500 0.864 [4 per cell]
Nb 0.000 0.241 0.500 [4 per cell]
O 0.001 0.000 0.304 [4 per cell]
O 0.001 0.500 0.302 [4 per cell]
O 0.154 0.251 0.073 [8 per cell]
O 0.167 0.267 0.587 [8 per cell]

Entry 2:
# HoHfTl

A relaxed HoHfTl crystal (PBE, Alexandria).

Properties
- DOS(E_F): 4.672 states/eV per cell
- V: 25.414 Å³ per atom
- ΔH_f (0 K): -0.05 eV per atom

Unit cell a=3.445 b=3.445 c=12.846 alpha=90.00 beta=90.00 gamma=90.00
Space group I4mm (No. 107)
Inequivalent atoms, fractional coordinates:
Ho 0.000 0.000 0.000 [2 per cell]
Hf 0.000 0.000 0.329 [2 per cell]
Tl 0.000 0.000 0.673 [2 per cell]

Entry 3:
# BaNd2Sn2Hg2

A relaxed BaNd2Sn2Hg2 crystal (PBE, Alexandria).

Properties
- DOS(E_F): 20.383 states/eV per cell
- V: 32.339 Å³ per atom
- ΔH_f (0 K): -0.42 eV per atom

Unit cell a=5.1768 b=5.1768 c=29.2611 alpha=90.00 beta=90.00 gamma=120.00
Space group R-3m (No. 166, hexagonal axes)
Inequivalent atoms, fractional coordinates:
Ba 0.0000 0.0000 0.0000 [3 per cell]
Nd 0.0000 0.0000 0.1335 [6 per cell]
Sn 0.0000 0.0000 0.2562 [6 per cell]
Hg 0.0000 0.0000 0.4343 [6 per cell]

Entry 4:
# LiCuPd4

A relaxed LiCuPd4 crystal (PBE, Alexandria).

Properties
- DOS(E_F): 16.671 states/eV per cell
- V: 14.493 Å³ per atom
- ΔH_f (0 K): -0.17 eV per atom
- Energy above the lowest structure with this stoichiometry: 7.2 meV/atom

Unit cell a=8.661 b=3.833 c=5.496 alpha=90.00 beta=107.64 gamma=90.00
Space group C2/m (No. 12)
Inequivalent atoms, fractional coordinates:
Li 0.000 0.000 0.000 [2 per cell]
Cu 0.000 0.000 0.500 [2 per cell]
Pd 0.162 0.500 0.833 [4 per cell]
Pd 0.164 0.500 0.334 [4 per cell]

Entry 5:
# BaCdPd

A relaxed BaCdPd crystal (PBE, Alexandria).

Properties
- DOS(E_F): 2.525 states/eV per cell
- V: 28.759 Å³ per atom
- ΔH_f (0 K): -0.45 eV per atom

Unit cell a=4.594 b=4.594 c=8.174 alpha=90.00 beta=90.00 gamma=90.00
Space group P4/nmm (No. 129, origin choice 2)
Inequivalent atoms, fractional coordinates:
Ba 0.250 0.250 0.163 [2 per cell]
Cd 0.250 0.750 0.500 [2 per cell]
Pd 0.250 0.250 0.716 [2 per cell]

Entry 6:
# AcHgS

A relaxed AcHgS crystal (PBE, Alexandria).

Properties
- DOS(E_F): 1.181 states/eV per cell
- V: 33.042 Å³ per atom
- Formation energy (no corrections): -299 kJ/mol of formula units
- Energy above the lowest structure with this stoichiometry: 288.4 meV/atom

Unit cell a=4.9272 b=4.9272 c=4.7147 alpha=90.00 beta=90.00 gamma=120.00
Space group P3m1 (No. 156)
Inequivalent atoms, fractional coordinates:
Ac 0.0000 0.0000 0.0000 [1 per cell]
Hg 0.3333 0.6667 0.5301 [1 per cell]
S 0.6667 0.3333 0.0782 [1 per cell]

Entry 7:
# RbPaAsO5

A relaxed RbPaAsO5 crystal (PBE, Alexandria).

Properties
- DOS(E_F): 17.387 states/eV per cell
- V: 18.068 Å³ per atom
- Formation energy (no corrections): -1760 kJ/mol of formula units

Unit cell a=7.738 b=10.141 c=8.222 alpha=90.00 beta=116.33 gamma=90.00
Space group C2/c (No. 15)
Inequivalent atoms, fractional coordinates:
Rb 0.000 0.170 0.250 [4 per cell]
Pa 0.000 0.500 0.000 [4 per cell]
As 0.000 0.188 0.750 [4 per cell]
O 0.000 0.444 0.250 [4 per cell]
O 0.083 0.297 0.612 [8 per cell]
O 0.194 0.074 0.887 [8 per cell]

Entry 8:
# ZrCIN2

A relaxed ZrCIN2 crystal (PBE, Alexandria).

Properties
- DOS(E_F): 1.424 states/eV per cell
- V: 13.419 Å³ per atom
- Formation energy (no corrections): 944 kJ/mol of formula units
- Energy above the lowest structure with this stoichiometry: 347.1 meV/atom

Unit cell a=4.028 b=4.028 c=4.136 alpha=90.00 beta=90.00 gamma=90.00
Space group P4/mmm (No. 123)
Inequivalent atoms, fractional coordinates:
Zr 0.000 0.000 0.000 [1 per cell]
C 0.500 0.500 0.500 [1 per cell]
I 0.500 0.500 0.000 [1 per cell]
N 0.000 0.500 0.500 [2 per cell]